# Sm3Er2In

An optimized crystal structure of Sm3Er2In (PBE, the Alexandria database).

electronic total energy = -4.49 eV/atom
E above lowest polymorph = 0.000 eV/atom

The structure in POSCAR format:
```
Sm3Er2In
1.0
2.468 -7.563 0.000
2.468 7.563 0.000
0.000 0.000 4.888
Sm Er In
3 2 1
direct
0.000 0.000 0.000
0.331 0.669 0.000
0.669 0.331 0.000
0.163 0.837 0.500
0.837 0.163 0.500
0.500 0.500 0.500
```



# Sm2ErIn5

An optimized crystal structure of Sm2ErIn5 (PBE, the Alexandria database).

electronic total energy = -3.90 eV/atom

The structure in POSCAR format:
```
Sm2ErIn5
1.0
-3.550 3.550 4.229
3.550 -3.550 4.229
3.550 3.550 -4.229
Sm Er In
2 1 5
direct
0.000 0.500 0.500
0.500 0.000 0.500
0.413 0.413 0.000
0.028 0.028 0.000
0.525 0.525 0.568
0.525 0.957 0.000
0.957 0.525 0.000
0.957 0.957 0.432
```



# SmEr2In2

An optimized crystal structure of SmEr2In2 (PBE, the Alexandria database).

electronic total energy = -4.01 eV/atom
E above lowest polymorph = 0.227 eV/atom

The structure in POSCAR format:
```
SmEr2In2
1.0
-2.296 2.296 14.443
2.296 -2.296 14.443
2.296 2.296 -14.443
Sm Er In
2 4 4
direct
0.136 0.136 0.000
0.864 0.864 0.000
0.250 0.750 0.500
0.426 0.426 0.000
0.574 0.574 0.000
0.750 0.250 0.500
0.000 0.500 0.500
0.325 0.325 0.000
0.500 0.000 0.500
0.675 0.675 0.000
```



# SmErIn6

An optimized crystal structure of SmErIn6 (PBE, the Alexandria database).

electronic total energy = -3.64 eV/atom
E above lowest polymorph = 0.000 eV/atom

The structure in POSCAR format:
```
SmErIn6
1.0
4.654 0.000 0.000
0.000 4.654 0.000
0.000 0.000 9.303
Sm Er In
1 1 6
direct
0.000 0.000 0.000
0.000 0.000 0.500
0.000 0.500 0.254
0.000 0.500 0.746
0.500 0.000 0.254
0.500 0.000 0.746
0.500 0.500 0.000
0.500 0.500 0.500
```



# SmEr3In

An optimized crystal structure of SmEr3In (PBE, the Alexandria database).

electronic total energy = -4.40 eV/atom
E above lowest polymorph = 0.000 eV/atom

The structure in POSCAR format:
```
SmEr3In
1.0
2.410 -12.549 0.000
2.410 12.549 0.000
0.000 0.000 4.808
Sm Er In
2 6 2
direct
0.148 0.852 0.750
0.852 0.148 0.250
0.048 0.952 0.250
0.250 0.750 0.250
0.448 0.552 0.250
0.552 0.448 0.750
0.750 0.250 0.750
0.952 0.048 0.750
0.347 0.653 0.750
0.653 0.347 0.250
```



# Sm2Er5In5

An optimized crystal structure of Sm2Er5In5 (PBE, the Alexandria database).

electronic total energy = -4.13 eV/atom

The structure in POSCAR format:
```
Sm2Er5In5
1.0
6.038 -2.525 0.000
6.038 2.525 0.000
-3.910 0.000 11.154
Sm Er In
2 5 5
direct
0.075 0.075 0.257
0.925 0.925 0.743
0.349 0.349 0.497
0.370 0.370 0.222
0.500 0.500 0.000
0.630 0.630 0.778
0.651 0.651 0.503
0.000 0.000 0.500
0.168 0.168 0.968
0.252 0.252 0.717
0.748 0.748 0.283
0.832 0.832 0.032
```



Look up the electronic total energy of the fourth one.
-3.64 eV/atom



What is the formula in the sixth record?
Sm2Er5In5



Look up the electronic total energy of the fourth one.
-3.64 eV/atom